## TaMn2CrO6 (PBE+U)

Data for TaMn2CrO6 after structural relaxation.

Calculated values
* space group: R3, No. 146
* total energy: -8.564 eV/atom

Lattice parameters (Å, degrees): 5.331 5.330 5.568 61.40 61.40 60.00
Each line ends with the local moment (μB).
Positions (direct):
1 O 0.682 0.090 0.773  0.03
2 O 0.186 0.958 0.272  0.03
3 O 0.090 0.454 0.773  0.03
4 O 0.584 0.186 0.272  0.02
5 O 0.454 0.683 0.773  0.03
6 O 0.958 0.584 0.272  0.03
7 Cr 0.818 0.818 0.546  2.98
8 Mn 0.039 0.039 0.882  4.63
9 Mn 0.533 0.533 0.401  4.63
10 Ta 0.316 0.316 0.051  0.05